[1]
DFT (PBE-GGA) results for BeOs2Pt after structural relaxation.

Computed properties:
N(E_F) = 9.80 states/eV/cell
formation energy from the elements = 536 meV/atom

a b c (Å): 3.665 3.665 17.852
angles (deg): 90.00 90.00 90.00
Positions (direct):
Be1 0.000 0.000 0.000
Be2 0.000 0.500 0.250
Be3 0.500 0.000 0.750
Be4 0.500 0.500 0.500
Os1 0.210 0.250 0.125
Os2 0.250 0.710 0.375
Os3 0.250 0.790 0.875
Os4 0.290 0.250 0.625
Os5 0.710 0.750 0.625
Os6 0.750 0.210 0.875
Os7 0.750 0.290 0.375
Os8 0.790 0.750 0.125
Pt1 0.000 0.000 0.500
Pt2 0.000 0.500 0.750
Pt3 0.500 0.000 0.250
Pt4 0.500 0.500 0.000



[2]
DFT (PBE-GGA) results for MnHIr2Ru after structural relaxation.

Computed properties:
ΔE to the lowest computed polymorph = 0.000 eV/atom
N(E_F) = 4.65 states/eV/cell

a b c (Å): 3.881 3.881 3.882
angles (deg): 90.00 90.00 90.00
Positions (direct):
Mn1 0.000 0.000 0.000
H1 0.500 0.500 0.500
Ir1 0.000 0.500 0.500
Ir2 0.500 0.000 0.500
Ru1 0.500 0.500 0.000



[3]
DFT (PBE-GGA) results for Pu2UGa after structural relaxation.

Computed properties:
ΔE to the lowest computed polymorph = 0.425 eV/atom
N(E_F) = 47.45 states/eV/cell
formation energy from the elements = 349 meV/atom

a b c (Å): 3.163 3.163 33.234
angles (deg): 90.00 90.00 120.00
Positions (direct):
Pu1 0.000 0.000 0.090
Pu2 0.000 0.000 0.910
Pu3 0.333 0.667 0.577
Pu4 0.333 0.667 0.756
Pu5 0.667 0.333 0.244
Pu6 0.667 0.333 0.423
U1 0.000 0.000 0.500
U2 0.333 0.667 0.167
U3 0.667 0.333 0.833
Ga1 0.000 0.000 0.000
Ga2 0.333 0.667 0.667
Ga3 0.667 0.333 0.333



[4]
DFT (PBE-GGA) results for KZrRh after structural relaxation.

Computed properties:
ΔE to the lowest computed polymorph = 0.569 eV/atom
N(E_F) = 5.58 states/eV/cell
formation energy from the elements = 620 meV/atom

a b c (Å): 6.702 6.702 6.702
angles (deg): 90.00 90.00 90.00
Positions (direct):
K1 0.000 0.000 0.000
K2 0.000 0.500 0.500
K3 0.500 0.000 0.500
K4 0.500 0.500 0.000
Zr1 0.000 0.000 0.500
Zr2 0.000 0.500 0.000
Zr3 0.500 0.000 0.000
Zr4 0.500 0.500 0.500
Rh1 0.250 0.250 0.750
Rh2 0.250 0.750 0.250
Rh3 0.750 0.250 0.250
Rh4 0.750 0.750 0.750